[1]
Material: Rb2NaAsIr
Method: DFT, meta-GGA SCAN
State: PBEsol geometry

It has space group P4/mmm (No. 123), with a = 6.4427 Å, b = 6.4427 Å, c = 5.4579 Å, α = 90.00°, β = 90.00° and γ = 90.00°. The distinct sites, in fractional coordinates, are Rb at (0.0000, 0.5000, 0.0000), Na at (0.0000, 0.0000, 0.5000), As at (0.0000, 0.0000, 0.0000) and Ir at (0.5000, 0.5000, 0.5000).

The formation energy comes out at 0.789 eV per atom.



[2]
Material: Tc2OsRu
Method: DFT, meta-GGA SCAN
State: PBEsol geometry

It has space group P4/mmm (No. 123), with a = 2.6958 Å, b = 2.6958 Å, c = 7.6061 Å, α = 90.00°, β = 90.00° and γ = 90.00°. The distinct sites, in fractional coordinates, are Tc at (0.0000, 0.0000, 0.2484), Os at (0.5000, 0.5000, 0.5000) and Ru at (0.5000, 0.5000, 0.0000).

The formation energy comes out at 0.036 eV per atom.



[3]
Material: Ti3PdC
Method: DFT, meta-GGA SCAN
State: PBEsol geometry

It has space group Pm-3m (No. 221), with a = 4.1181 Å, b = 4.1181 Å, c = 4.1181 Å, α = 90.00°, β = 90.00° and γ = 90.00°. The distinct sites, in fractional coordinates, are Ti at (0.0000, 0.0000, 0.5000), Pd at (0.5000, 0.5000, 0.5000) and C at (0.0000, 0.0000, 0.0000).

The formation energy comes out at -0.678 eV per atom.